# 1
# BiPt2WN GGA-PBE optimized geometry
# DOS at the Fermi energy = 0.7355 states/eV/atom
# electronic total energy = -5.48 eV/atom
# mass density = 10.3 Mg/m³
data_BiPt2WN
_chemical_formula_sum 'Bi1 Pt2 W1 N1'
_cell_length_a 4.855
_cell_length_b 4.855
_cell_length_c 5.456
_cell_angle_alpha 90.00
_cell_angle_beta 90.00
_cell_angle_gamma 90.00
_symmetry_space_group_name_H-M 'P 4/m m m'
_symmetry_Int_Tables_number 123
_symmetry_space_group_name_Hall '-P 4 2'
loop_
_atom_site_label
_atom_site_fract_x
_atom_site_fract_y
_atom_site_fract_z
Bi1 0.000 0.000 0.000
Pt1 0.000 0.500 0.500
W1 0.000 0.000 0.500
N1 0.500 0.500 0.000



# 2
# PrZn6Pd12 GGA-PBE optimized geometry
# DOS at the Fermi energy = 0.3740 states/eV/atom
# formation energy from the elements = -371 meV per atom
# electronic total energy = -4.30 eV/atom
# mass density = 9.3 Mg/m³
data_PrZn6Pd12
_chemical_formula_sum 'Pr3 Zn18 Pd36'
_cell_length_a 11.5419
_cell_length_b 11.5419
_cell_length_c 8.3642
_cell_angle_alpha 90.00
_cell_angle_beta 90.00
_cell_angle_gamma 120.00
_symmetry_space_group_name_H-M 'R -3 m'
_symmetry_Int_Tables_number 166
_symmetry_space_group_name_Hall '-R 3 2"'
loop_
_atom_site_label
_atom_site_fract_x
_atom_site_fract_y
_atom_site_fract_z
Pr1 0.0000 0.0000 0.0000
Zn1 0.0484 0.5242 0.2460
Pd1 0.0000 0.3816 0.5000
Pd2 0.0821 0.1642 0.3109



# 3
# CrGe2S2 GGA-PBE optimized geometry
# DOS at the Fermi energy = 0.5468 states/eV/atom
# electronic total energy = -5.12 eV/atom
# distance to the lowest polymorph of the same formula = 194.5 meV/atom
# mass density = 4.6 Mg/m³
data_CrGe2S2
_chemical_formula_sum 'Cr2 Ge4 S4'
_cell_length_a 3.505
_cell_length_b 3.505
_cell_length_c 15.204
_cell_angle_alpha 90.00
_cell_angle_beta 90.00
_cell_angle_gamma 90.00
_symmetry_space_group_name_H-M 'I 4/m m m'
_symmetry_Int_Tables_number 139
_symmetry_space_group_name_Hall '-I 4 2'
loop_
_atom_site_label
_atom_site_fract_x
_atom_site_fract_y
_atom_site_fract_z
Cr1 0.000 0.000 0.000
Ge1 0.000 0.500 0.250
S1 0.000 0.000 0.412



# 4
# Cd2MoCl GGA-PBE optimized geometry
# DOS at the Fermi energy = 0.3973 states/eV/atom
# electronic total energy = -3.49 eV/atom
# distance to the lowest polymorph of the same formula = 0.0 meV/atom
# mass density = 6.1 Mg/m³
data_Cd2MoCl
_chemical_formula_sum 'Cd4 Mo2 Cl2'
_cell_length_a 2.996
_cell_length_b 4.908
_cell_length_c 13.218
_cell_angle_alpha 90.00
_cell_angle_beta 90.00
_cell_angle_gamma 90.00
_symmetry_space_group_name_H-M 'I m m 2'
_symmetry_Int_Tables_number 44
_symmetry_space_group_name_Hall 'I 2 -2'
loop_
_atom_site_label
_atom_site_fract_x
_atom_site_fract_y
_atom_site_fract_z
Cd1 0.000 0.000 0.000
Cd2 0.000 0.500 0.143
Mo1 0.000 0.000 0.460
Cl1 0.000 0.500 0.814



Question: What is the electronic total energy in the second record?
Answer: -4.30 eV/atom



Question: Which value of DOS at the Fermi energy does entry 4 give?
Answer: 0.3973 states/eV/atom



Question: Look up the DOS at the Fermi energy of the second one.
Answer: 0.3740 states/eV/atom